[1]
Material: Al2PbWO8
Method: DFT, PBE+U
State: relaxed

abc: 4.6033 4.6033 6.2742
angles: 90.00 90.00 90.93
Last column: nearest neighbours and their distance in Å.
Element x y z (fractional)
Al 0.0000 0.0000 0.2438  6 O 1.92-1.99
Al 0.0000 0.0000 0.7562  6 O 1.92-1.99
Pb 0.5000 0.5000 0.5000  6 O 2.09-2.23
W 0.5000 0.5000 0.0000  6 O 1.95-1.96
O 0.1762 0.1762 0.5000  2 Al 1.97, 1 Pb 2.09
O 0.1959 0.1959 0.0000  1 W 1.96, 2 Al 1.99
O 0.2910 0.7090 0.2200  1 Al 1.92, 1 W 1.95
O 0.2910 0.7090 0.7800  1 Al 1.92, 1 W 1.95
O 0.7090 0.2910 0.2200  1 Al 1.92, 1 W 1.95
O 0.7090 0.2910 0.7800  1 Al 1.92, 1 W 1.95
O 0.8041 0.8041 0.0000  1 W 1.96, 2 Al 1.99
O 0.8238 0.8238 0.5000  2 Al 1.97, 1 Pb 2.09

Output
calculated volume: 133 Å³ per cell
space-group type: Cmmm, No. 65
size of the total moment: 0.0 μB/cell
DFT total energy: -6.88 eV per atom

[2]
Material: AlPb2WO6
Method: DFT, PBE+U
State: relaxed

abc: 5.6194 5.6194 5.6194
angles: 120.95 120.03 89.16
Last column: nearest neighbours and their distance in Å.
Element x y z (fractional)
Al 0.0000 0.0000 0.0000  6 O 1.94-1.95
Pb 0.2477 0.7477 0.5000  12 O 2.77-2.84
Pb 0.7523 0.2523 0.5000  12 O 2.77-2.84
W 0.5000 0.5000 0.0000  6 O 2.00-2.05
O 0.2434 0.2491 0.4925  1 Al 1.94, 1 W 2.00
O 0.2434 0.7509 0.9944  1 Al 1.94, 1 W 2.00
O 0.2438 0.2438 0.0000  1 Al 1.95, 1 W 2.05
O 0.7562 0.7562 0.0000  1 Al 1.95, 1 W 2.05
O 0.7566 0.2491 0.0056  1 Al 1.94, 1 W 2.00
O 0.7566 0.7509 0.5075  1 Al 1.94, 1 W 2.00

Output
calculated volume: 125 Å³ per cell
space-group type: Immm, No. 71
size of the total moment: 1.0 μB/cell
DFT total energy: -6.69 eV per atom

Computed values of mass density (unit: g cm⁻³) for the preceding records, in sequence: 7.2; 9.6.